Entry 1:
A plane-wave DFT calculation with PBE-GGA was carried out for LaPm2Tm2 after structural relaxation.

abc: 4.1734 4.1734 10.0386
angles: 102.00 102.00 90.00
Closest atoms and distances in Å follow each position.
Fractional coordinates of all 5 atoms:
Pm1 0.8034 0.8034 0.6068  5 Tm 3.46-3.86, 4 Pm 3.59, 1 La 3.77
Pm2 0.1966 0.1966 0.3932  5 Tm 3.46-3.86, 4 Pm 3.59, 1 La 3.77
Tm1 0.6023 0.6023 0.2045  5 Pm 3.46-3.86, 4 La 3.54
Tm2 0.3977 0.3977 0.7955  5 Pm 3.46-3.86, 4 La 3.54
La1 0.0000 0.0000 0.0000  8 Tm 3.54, 2 Pm 3.77

The calculation puts the formation enthalpy at 0 K at 0.10 eV per atom. As for the total energy: -4.578 eV/atom. As for the symmetry: I4/mmm.


Entry 2:
A plane-wave DFT calculation with PBE-GGA was carried out for Ac4TeAsI2 after structural relaxation.

abc: 4.5644 8.4584 8.0556
angles: 107.85 90.00 90.00
Closest atoms and distances in Å follow each position.
Fractional coordinates of all 8 atoms:
Te1 0.0000 0.0000 0.0000  6 Ac 3.29-3.32
Ac1 0.0000 0.7190 0.2110  2 As 3.10, 1 Te 3.32, 1 I 3.39
Ac2 0.0000 0.2810 0.7890  2 As 3.10, 1 Te 3.32, 1 I 3.39
Ac3 0.5000 0.2613 0.2214  1 As 3.08, 2 Te 3.29, 2 I 3.40
Ac4 0.5000 0.7387 0.7786  1 As 3.08, 2 Te 3.29, 2 I 3.40
As1 0.5000 0.5000 0.0000  6 Ac 3.08-3.10
I1 0.5000 0.0000 0.5000  6 Ac 3.59-3.60
I2 0.0000 0.5000 0.5000  6 Ac 3.39-3.40

Its uncorrected formation energy is -1.2092 eV per atom. As for the total energy: -4.625 eV/atom. As for the symmetry: P2/m.


Entry 3:
A plane-wave DFT calculation with PBE-GGA was carried out for Ho6Tl5Ag after structural relaxation.

abc: 9.7497 6.4078 6.4533
angles: 60.23 83.47 76.76
Closest atoms and distances in Å follow each position.
Fractional coordinates of all 12 atoms:
Tl1 0.0000 0.6578 0.6845  6 Ho 3.18-3.21, 1 Tl 3.54
Tl2 0.5000 0.5000 0.0000  6 Ho 3.21-3.24
Tl3 0.5000 0.8253 0.3495  6 Ho 3.21-3.24
Tl4 0.0000 0.3422 0.3155  6 Ho 3.18-3.21, 1 Tl 3.54
Tl5 0.5000 0.1747 0.6505  6 Ho 3.21-3.24
Ho1 0.2542 0.2417 0.0000  5 Tl 3.18-3.21, 1 Ag 3.21
Ho2 0.2428 0.9218 0.6732  1 Ag 3.11, 5 Tl 3.18-3.24
Ho3 0.2428 0.5950 0.3268  1 Ag 3.11, 5 Tl 3.18-3.24
Ho4 0.7458 0.7583 0.0000  5 Tl 3.18-3.21, 1 Ag 3.21
Ho5 0.7572 0.4050 0.6732  1 Ag 3.11, 5 Tl 3.18-3.24
Ho6 0.7572 0.0782 0.3268  1 Ag 3.11, 5 Tl 3.18-3.24
Ag1 0.0000 0.0000 0.0000  6 Ho 3.11-3.21

The calculation puts the formation enthalpy at 0 K at -0.22 eV per atom. As for the total energy: -3.734 eV/atom. As for the symmetry: C2/m.


The highest total energy belongs to which entry? Ho6Tl5Ag